BaSmRh: relaxed, PBE.

For the formation energy, the calculation gives -0.37 eV per atom. The calculation puts the raw total energy at -120.93 eV/cell.

The structure belongs to space group C2/m (No. 12); the cell edges are 22.576, 5.131 and 7.756 Å and the angles 90.00°, 94.20° and 90.00°. The inequivalent atoms are Ba at (0.080, 0.000, 0.299), Ba at (0.093, 0.500, 0.821), Sm at (0.212, 0.000, 0.609), Sm at (0.231, 0.000, 0.129), Rh at (0.173, 0.500, 0.510) and Rh at (0.186, 0.500, 0.154).

---

BaSm2Rh: relaxed, PBE.

For the formation energy, the calculation gives -0.24 eV per atom. The calculation puts the raw total energy at -59.03 eV/cell.

The structure belongs to space group R-3m (No. 166, hexagonal axes); the cell edges are 4.0597, 4.0597 and 32.5335 Å and the angles 90.00°, 90.00° and 120.00°. The inequivalent atoms are Ba at (0.0000, 0.0000, 0.0000), Sm at (0.0000, 0.0000, 0.1199) and Rh at (0.0000, 0.0000, 0.5000).

---

BaSm3Rh: relaxed, PBE.

For the formation energy, the calculation gives -0.21 eV per atom. The calculation puts the raw total energy at -24.48 eV/cell.

The structure belongs to space group Pm-3m (No. 221); the cell edges are 5.664, 5.664 and 5.664 Å and the angles 90.00°, 90.00° and 90.00°. The inequivalent atoms are Ba at (0.000, 0.000, 0.000), Sm at (0.000, 0.500, 0.500) and Rh at (0.500, 0.500, 0.500).

---

BaSmRh: relaxed, PBE.

For the formation energy, the calculation gives -0.29 eV per atom. The calculation puts the raw total energy at -29.72 eV/cell.

The structure belongs to space group I4mm (No. 107); the cell edges are 3.670, 3.670 and 14.227 Å and the angles 90.00°, 90.00° and 90.00°. The inequivalent atoms are Ba at (0.000, 0.000, 0.000), Sm at (0.000, 0.000, 0.249) and Rh at (0.000, 0.000, 0.657).

---

BaSmRh4: relaxed, PBE.

For the formation energy, the calculation gives -0.36 eV per atom. The calculation puts the raw total energy at -152.75 eV/cell.

The structure belongs to space group F-43m (No. 216); the cell edges are 7.769, 7.769 and 7.769 Å and the angles 90.00°, 90.00° and 90.00°. The inequivalent atoms are Ba at (0.000, 0.000, 0.000), Sm at (0.250, 0.250, 0.750) and Rh at (0.124, 0.124, 0.376).

---

Ba2SmSn3Rh4: relaxed, PBE.

For the formation energy, the calculation gives -0.63 eV per atom. The calculation puts the raw total energy at -56.28 eV/cell.

The structure belongs to space group P-4m2 (No. 115); the cell edges are 4.611, 4.611 and 11.579 Å and the angles 90.00°, 90.00° and 90.00°. The inequivalent atoms are Ba at (0.000, 0.500, 0.237), Sm at (0.000, 0.000, 0.500), Sn at (0.000, 0.500, 0.882), Sn at (0.500, 0.500, 0.500), Rh at (0.000, 0.000, 0.000), Rh at (0.000, 0.500, 0.641) and Rh at (0.500, 0.500, 0.000).

---

BaSn12Rh6: relaxed, PBE.

For the formation energy, the calculation gives -0.36 eV per atom. The calculation puts the raw total energy at -302.46 eV/cell.

The structure belongs to space group R-3m (No. 166, hexagonal axes); the cell edges are 12.6051, 12.6051 and 9.3947 Å and the angles 90.00°, 90.00° and 120.00°. The inequivalent atoms are Ba at (0.0000, 0.0000, 0.0000), Sn at (0.0000, 0.3801, 0.5000), Sn at (0.0860, 0.1720, 0.3265) and Rh at (0.0487, 0.5243, 0.2472).

---

Ba3Sn7Rh2: relaxed, PBE.

For the formation energy, the calculation gives -0.37 eV per atom. The calculation puts the raw total energy at -105.90 eV/cell.

The structure belongs to space group Cmmm (No. 65); the cell edges are 4.930, 31.219 and 5.058 Å and the angles 90.00°, 90.00° and 90.00°. The inequivalent atoms are Ba at (0.000, 0.000, 0.000), Ba at (0.000, 0.187, 0.000), Sn at (0.000, 0.106, 0.500), Sn at (0.000, 0.278, 0.500), Sn at (0.000, 0.400, 0.000), Sn at (0.000, 0.500, 0.500) and Rh at (0.000, 0.422, 0.500).

---

Ba8SnRh2: relaxed, PBE.

For the formation energy, the calculation gives -0.04 eV per atom. The calculation puts the raw total energy at -34.50 eV/cell.

The structure belongs to space group P-1 (No. 2); the cell edges are 7.751, 9.650 and 9.651 Å and the angles 60.14°, 89.86° and 89.88°. The inequivalent atoms are Ba at (0.248, 0.334, 0.333), Ba at (0.250, 0.343, 0.829), Ba at (0.250, 0.828, 0.343), Ba at (0.250, 0.829, 0.828), Sn at (0.500, 0.000, 0.000) and Rh at (0.383, 0.666, 0.666).

---

BaSn4Rh: relaxed, PBE.

For the formation energy, the calculation gives -0.35 eV per atom. The calculation puts the raw total energy at -109.61 eV/cell.

The structure belongs to space group Cmcm (No. 63); the cell edges are 5.232, 19.344 and 6.719 Å and the angles 90.00°, 90.00° and 90.00°. The inequivalent atoms are Ba at (0.000, 0.100, 0.250), Sn at (0.000, 0.135, 0.750), Sn at (0.000, 0.288, 0.519), Sn at (0.000, 0.500, 0.000) and Rh at (0.000, 0.395, 0.250).

---

BaSn8Rh2: relaxed, PBE.

For the formation energy, the calculation gives -0.21 eV per atom. The calculation puts the raw total energy at -50.92 eV/cell.

The structure belongs to space group P4/mmm (No. 123); the cell edges are 6.453, 6.453 and 8.748 Å and the angles 90.00°, 90.00° and 90.00°. The inequivalent atoms are Ba at (0.000, 0.000, 0.000), Sn at (0.252, 0.252, 0.322) and Rh at (0.000, 0.500, 0.500).

---

Ba6Sn2Rh: relaxed, PBE.

For the formation energy, the calculation gives -0.43 eV per atom. The calculation puts the raw total energy at -61.44 eV/cell.

The structure belongs to space group P2_1/c (No. 14); the cell edges are 8.043, 8.927 and 14.021 Å and the angles 90.00°, 124.52° and 90.00°. The inequivalent atoms are Ba at (0.134, 0.174, 0.446), Ba at (0.271, 0.697, 0.444), Ba at (0.354, 0.031, 0.250), Sn at (0.225, 0.091, 0.752) and Rh at (0.500, 0.000, 0.500).

---

Ba2Sn4Rh5: relaxed, PBE.

For the formation energy, the calculation gives -0.56 eV per atom. The calculation puts the raw total energy at -250.92 eV/cell.

The structure belongs to space group Fmmm (No. 69); the cell edges are 6.172, 10.763 and 15.564 Å and the angles 90.00°, 90.00° and 90.00°. The inequivalent atoms are Ba at (0.000, 0.000, 0.126), Sn at (0.000, 0.162, 0.372), Rh at (0.000, 0.000, 0.500), Rh at (0.250, 0.250, 0.000) and Rh at (0.250, 0.250, 0.250).

---

BaSn4Rh2: relaxed, PBE.

For the formation energy, the calculation gives -0.52 eV per atom. The calculation puts the raw total energy at -144.98 eV/cell.

The structure belongs to space group Pnma (No. 62); the cell edges are 19.206, 4.643 and 7.301 Å and the angles 90.00°, 90.00° and 90.00°. The inequivalent atoms are Ba at (0.140, 0.250, 0.003), Sn at (0.030, 0.750, 0.855), Sn at (0.071, 0.250, 0.488), Sn at (0.182, 0.750, 0.311), Sn at (0.197, 0.750, 0.721), Rh at (0.035, 0.750, 0.262) and Rh at (0.213, 0.250, 0.519).

---

Ba3Sn2Rh: relaxed, PBE.

For the formation energy, the calculation gives -0.47 eV per atom. The calculation puts the raw total energy at -95.71 eV/cell.

The structure belongs to space group C2/c (No. 15); the cell edges are 11.068, 10.077 and 8.534 Å and the angles 90.00°, 105.68° and 90.00°. The inequivalent atoms are Ba at (0.000, 0.097, 0.250), Ba at (0.166, 0.424, 0.973), Sn at (0.204, 0.229, 0.645) and Rh at (0.000, 0.217, 0.750).

---

Ba3SnRh: relaxed, PBE.

For the formation energy, the calculation gives -0.27 eV per atom. The calculation puts the raw total energy at -18.47 eV/cell.

The structure belongs to space group Pm-3m (No. 221); the cell edges are 5.900, 5.900 and 5.900 Å and the angles 90.00°, 90.00° and 90.00°. The inequivalent atoms are Ba at (0.000, 0.000, 0.500), Sn at (0.500, 0.500, 0.500) and Rh at (0.000, 0.000, 0.000).

---

BaSn4Rh: relaxed, PBE.

For the formation energy, the calculation gives -0.50 eV per atom. The calculation puts the raw total energy at -113.09 eV/cell.

The structure belongs to space group Cmcm (No. 63); the cell edges are 4.684, 18.241 and 7.444 Å and the angles 90.00°, 90.00° and 90.00°. The inequivalent atoms are Ba at (0.000, 0.116, 0.250), Sn at (0.000, 0.071, 0.750), Sn at (0.000, 0.308, 0.044), Sn at (0.000, 0.500, 0.000) and Rh at (0.000, 0.215, 0.750).

---

Ba2SnRh: relaxed, PBE.

For the formation energy, the calculation gives -0.46 eV per atom. The calculation puts the raw total energy at -34.07 eV/cell.

The structure belongs to space group Cm (No. 8); the cell edges are 7.839, 4.855 and 9.236 Å and the angles 90.00°, 108.86° and 90.00°. The inequivalent atoms are Ba at (0.000, 0.000, 0.000), Ba at (0.190, 0.000, 0.497), Sn at (0.247, 0.500, 0.249) and Rh at (0.402, 0.000, 0.248).

---

BaSnRh2: relaxed, PBE.

For the formation energy, the calculation gives -0.42 eV per atom. The calculation puts the raw total energy at -44.66 eV/cell.

The structure belongs to space group Pmmn (No. 59, origin choice 2); the cell edges are 4.523, 6.980 and 6.331 Å and the angles 90.00°, 90.00° and 90.00°. The inequivalent atoms are Ba at (0.250, 0.250, 0.141), Sn at (0.250, 0.750, 0.357) and Rh at (0.250, 0.048, 0.629).

---

BaSn12Rh4: relaxed, PBE.

For the formation energy, the calculation gives -0.32 eV per atom. The calculation puts the raw total energy at -169.57 eV/cell.

The structure belongs to space group Im-3 (No. 204); the cell edges are 9.523, 9.523 and 9.523 Å and the angles 90.00°, 90.00° and 90.00°. The inequivalent atoms are Ba at (0.000, 0.000, 0.000), Sn at (0.000, 0.342, 0.166) and Rh at (0.250, 0.250, 0.250).

---

Ba2SnRh: relaxed, PBE.

For the formation energy, the calculation gives -0.35 eV per atom. The calculation puts the raw total energy at -66.36 eV/cell.

The structure belongs to space group I-42d (No. 122); the cell edges are 11.656, 11.656 and 5.153 Å and the angles 90.00°, 90.00° and 90.00°. The inequivalent atoms are Ba at (0.078, 0.250, 0.125), Sn at (0.000, 0.000, 0.500) and Rh at (0.000, 0.000, 0.000).

---

BaSnRh2: relaxed, PBE.

For the formation energy, the calculation gives 0.00 eV per atom. The calculation puts the raw total energy at -82.44 eV/cell.

The structure belongs to space group I-42d (No. 122); the cell edges are 7.669, 7.669 and 6.825 Å and the angles 90.00°, 90.00° and 90.00°. The inequivalent atoms are Ba at (0.000, 0.000, 0.000), Sn at (0.000, 0.000, 0.500) and Rh at (0.192, 0.250, 0.625).